[1]
Computed, not measured: a relaxed structure of PuZnBi2O6 at the GGA-PBE level of DFT.

Summary:
E_form (uncorrected) = -17.1 eV/f.u.
Energy = -7.017 eV per atom
Magnetic moment = 4.00 μB per formula unit

a = 5.8941 Å, b = 5.8941 Å, c = 14.9134 Å
α = 90.00°, β = 90.00°, γ = 120.00°
Space group R3 (No. 146, hexagonal axes)
Unique sites:
Pu1 0.0000 0.0000 0.0000 x3
Zn1 0.0000 0.0000 0.5077 x3
Bi1 0.0000 0.0000 0.2913 x3
Bi2 0.0000 0.0000 0.7858 x3
O1 0.0760 0.3664 0.0670 x9
O2 0.0798 0.7225 0.5664 x9


[2]
Computed, not measured: a relaxed structure of FeCu2OsRu at the GGA-PBE level of DFT.

Summary:
Energy of formation = 1757 meV/atom
Energy = -5.675 eV per atom
Magnetic moment = 4.67 μB per formula unit

a = 4.5592 Å, b = 4.5592 Å, c = 4.5965 Å
α = 90.00°, β = 90.00°, γ = 90.00°
Space group P4/mmm (No. 123)
Unique sites:
Fe1 0.0000 0.0000 0.0000 x1
Cu1 0.0000 0.5000 0.5000 x2
Os1 0.5000 0.5000 0.0000 x1
Ru1 0.5000 0.5000 0.5000 x1


[3]
Computed, not measured: a relaxed structure of CaCo2W at the GGA-PBE level of DFT.

Summary:
Energy of formation = 438 meV/atom
Energy = -6.854 eV per atom
Magnetic moment = 0.64 μB per formula unit
Energy above the most stable polymorph in this dataset = 246 meV/atom

a = 7.9410 Å, b = 3.0355 Å, c = 6.1075 Å
α = 90.00°, β = 101.86°, γ = 90.00°
Space group C2/m (No. 12)
Unique sites:
Ca1 0.0000 0.0000 0.0000 x2
Co1 0.2299 0.0000 0.6490 x4
W1 0.0000 0.5000 0.5000 x2


[4]
Computed, not measured: a relaxed structure of Rb2TiAu at the GGA-PBE level of DFT.

Summary:
Energy of formation = 858 meV/atom
Energy = -2.418 eV per atom
Magnetic moment = 3.06 μB per formula unit
Energy above the most stable polymorph in this dataset = 339 meV/atom

a = 8.5851 Å, b = 8.5851 Å, c = 8.5851 Å
α = 90.00°, β = 90.00°, γ = 90.00°
Space group Fm-3m (No. 225)
Unique sites:
Rb1 0.2500 0.2500 0.2500 x8
Ti1 0.0000 0.0000 0.0000 x4
Au1 0.0000 0.0000 0.5000 x4


[5]
Computed, not measured: a relaxed structure of Nd2Sm3Tl4 at the GGA-PBE level of DFT.

Summary:
Energy of formation = -312 meV/atom
Energy = -3.996 eV per atom
Magnetic moment = 0.00 μB per formula unit
Energy above the most stable polymorph in this dataset = 0 meV/atom

a = 9.3537 Å, b = 5.4074 Å, c = 10.7409 Å
α = 90.00°, β = 90.12°, γ = 90.00°
Space group C2/m (No. 12)
Unique sites:
Nd1 0.1670 0.0000 0.2792 x4
Sm1 0.0000 0.5000 0.5000 x2
Sm2 0.1665 0.0000 0.9235 x4
Tl1 0.0001 0.5000 0.1508 x4
Tl2 0.1664 0.0000 0.6013 x4


[6]
Computed, not measured: a relaxed structure of Nd8Mg2Cu at the GGA-PBE level of DFT.

Summary:
Energy of formation = 14 meV/atom
Energy = -4.116 eV per atom
Magnetic moment = 0.00 μB per formula unit

a = 18.4836 Å, b = 5.4581 Å, c = 7.0063 Å
α = 90.00°, β = 104.68°, γ = 90.00°
Space group C2/m (No. 12)
Unique sites:
Nd1 0.0180 0.0000 0.2731 x4
Nd2 0.0922 0.5000 0.9423 x4
Nd3 0.1510 0.5000 0.4527 x4
Nd4 0.1988 0.0000 0.7780 x4
Mg1 0.1886 0.0000 0.2273 x4
Cu1 0.0000 0.5000 0.5000 x2


[7]
Computed, not measured: a relaxed structure of MnCr2Ru at the GGA-PBE level of DFT.

Summary:
Energy of formation = 122 meV/atom
Energy = -9.301 eV per atom
Magnetic moment = 0.70 μB per formula unit
Energy above the most stable polymorph in this dataset = 57 meV/atom

a = 2.8663 Å, b = 4.1604 Å, c = 8.1591 Å
α = 90.00°, β = 90.00°, γ = 90.00°
Space group Imm2 (No. 44)
Unique sites:
Mn1 0.0000 0.0000 0.0000 x2
Cr1 0.0000 0.0000 0.4678 x2
Cr2 0.0000 0.5000 0.7416 x2
Ru1 0.0000 0.5000 0.2286 x2


[8]
Computed, not measured: a relaxed structure of Cs2TiInS4 at the GGA-PBE level of DFT.

Summary:
E_form (uncorrected) = -8.8 eV/f.u.
Energy = -4.704 eV per atom
Magnetic moment = 0.00 μB per formula unit

a = 6.5128 Å, b = 14.3676 Å, c = 24.7424 Å
α = 90.00°, β = 90.00°, γ = 90.00°
Space group Fddd (No. 70, origin choice 2)
Unique sites:
Cs1 0.1250 0.1250 0.3026 x16
Ti1 0.1250 0.1250 0.6250 x8
In1 0.1250 0.1250 0.1250 x8
S1 0.0979 0.2844 0.8246 x32


[9]
Computed, not measured: a relaxed structure of Ac2DyAg at the GGA-PBE level of DFT.

Summary:
Energy of formation = 72 meV/atom
Energy = -3.845 eV per atom
Magnetic moment = 0.00 μB per formula unit
Energy above the most stable polymorph in this dataset = 152 meV/atom

a = 8.1809 Å, b = 8.1809 Å, c = 8.1809 Å
α = 90.00°, β = 90.00°, γ = 90.00°
Space group Fm-3m (No. 225)
Unique sites:
Ac1 0.2500 0.2500 0.2500 x8
Dy1 0.0000 0.0000 0.0000 x4
Ag1 0.0000 0.0000 0.5000 x4


[10]
Computed, not measured: a relaxed structure of CrPt2Cl at the GGA-PBE level of DFT.

Summary:
E_form (uncorrected) = -0.1 eV/f.u.
Energy = -5.907 eV per atom
Magnetic moment = 1.16 μB per formula unit
Energy above the most stable polymorph in this dataset = 0 meV/atom

a = 2.8433 Å, b = 2.8433 Å, c = 27.5402 Å
α = 90.00°, β = 90.00°, γ = 120.00°
Space group R3m (No. 160, hexagonal axes)
Unique sites:
Cr1 0.0000 0.0000 0.0000 x3
Pt1 0.0000 0.0000 0.4916 x3
Pt2 0.0000 0.0000 0.7402 x3
Cl1 0.0000 0.0000 0.2745 x3


[11]
Computed, not measured: a relaxed structure of TbGePd2 at the GGA-PBE level of DFT.

Summary:
Energy of formation = -676 meV/atom
Energy = -5.584 eV per atom
Magnetic moment = 0.00 μB per formula unit

a = 3.5332 Å, b = 4.1776 Å, c = 5.4993 Å
α = 90.00°, β = 90.00°, γ = 90.00°
Space group Pmmm (No. 47)
Unique sites:
Tb1 0.0000 0.0000 0.0000 x1
Ge1 0.5000 0.0000 0.5000 x1
Pd1 0.5000 0.5000 0.2472 x2